[1]
Mg2GeTeO6 | the Alexandria database | PBE | relaxed; formation energy from raw total energies = -1547 meV per atom; crystal system = tetragonal
1.0
-2.840 -3.950 -0.979
4.401 -2.936 -0.921
0.154 -1.395 5.183
Mg O Ge Te
2 6 1 1
direct
0.922 0.500 0.000
0.922 0.000 0.500
0.748 0.236 0.764
0.258 0.000 0.000
0.748 0.236 0.236
0.181 0.500 0.500
0.748 0.764 0.764
0.748 0.764 0.236
0.606 0.000 0.000
0.565 0.500 0.500


[2]
CdInGaSn | the Alexandria database | PBE | relaxed; formation enthalpy at 0 K = 0.03 eV/atom; energy relative to the lowest polymorph listed for this composition = 0 meV/atom; crystal system = tetragonal
1.0
3.345 0.000 0.000
0.000 3.345 0.000
0.000 0.000 8.706
In Sn Ga Cd
1 1 1 1
direct
0.000 0.000 0.080
0.500 0.500 0.799
0.000 0.000 0.565
0.500 0.500 0.342


| no. | V (Å³ per atom) |
| --- | --- |
| 1 | 14.3 |
| 2 | 24.4 |